## Sc2Sn2I (GGA-PBE)

Data for a geometry-optimized Sc2Sn2I structure.

Output
SG ... No. 127
Energy ... -4.956 eV/atom
Formation energy without anion corrections ... -0.51 eV/atom
Crystal system ... tetragonal
D(E_F) ... 5.175 states/eV per cell

Cell: 8.017 8.017 4.029 Å, 90.00 90.00 90.00°
Sites, in units of the cell vectors:
Sc 0.173 0.327 0.000
Sc 0.327 0.827 0.000
Sc 0.673 0.173 0.000
Sc 0.827 0.673 0.000
Sn 0.125 0.625 0.500
Sn 0.375 0.125 0.500
Sn 0.625 0.875 0.500
Sn 0.875 0.375 0.500
I 0.000 0.000 0.000
I 0.500 0.500 0.000

=====

## Sc2Sn2I (GGA-PBE)

Data for a geometry-optimized Sc2Sn2I structure.

Output
SG ... No. 127
Energy ... -4.698 eV/atom
Formation energy without anion corrections ... -0.25 eV/atom
Crystal system ... tetragonal
D(E_F) ... 8.774 states/eV per cell

Cell: 8.681 8.681 3.548 Å, 90.00 90.00 90.00°
Sites, in units of the cell vectors:
Sc 0.182 0.318 0.000
Sc 0.318 0.818 0.000
Sc 0.682 0.182 0.000
Sc 0.818 0.682 0.000
Sn 0.116 0.616 0.500
Sn 0.384 0.116 0.500
Sn 0.616 0.884 0.500
Sn 0.884 0.384 0.500
I 0.000 0.000 0.500
I 0.500 0.500 0.500

=====

## ScSnTeI2 (GGA-PBE)

Data for a geometry-optimized ScSnTeI2 structure.

Output
SG ... No. 123
Energy ... -3.145 eV/atom
Formation energy without anion corrections ... 0.17 eV/atom
Crystal system ... tetragonal
D(E_F) ... 8.349 states/eV per cell

Cell: 5.910 5.910 5.880 Å, 90.00 90.00 90.00°
Sites, in units of the cell vectors:
Sc 0.000 0.000 0.000
Sn 0.500 0.500 0.500
Te 0.500 0.500 0.000
I 0.000 0.500 0.500
I 0.500 0.000 0.500

=====

## ScSnTeI2 (GGA-PBE)

Data for a geometry-optimized ScSnTeI2 structure.

Output
SG ... No. 123
Energy ... -3.714 eV/atom
Formation energy without anion corrections ... -0.40 eV/atom
Crystal system ... tetragonal
D(E_F) ... 2.978 states/eV per cell

Cell: 5.650 5.650 5.721 Å, 90.00 90.00 90.00°
Sites, in units of the cell vectors:
Sc 0.000 0.000 0.000
Sn 0.500 0.500 0.500
Te 0.000 0.000 0.500
I 0.000 0.500 0.000
I 0.500 0.000 0.000

=====

## ScZnSnI2 (GGA-PBE)

Data for a geometry-optimized ScZnSnI2 structure.

Output
SG ... No. 123
Energy ... -2.593 eV/atom
Formation energy without anion corrections ... 0.35 eV/atom
Crystal system ... tetragonal
D(E_F) ... 4.288 states/eV per cell

Cell: 6.130 6.130 5.182 Å, 90.00 90.00 90.00°
Sites, in units of the cell vectors:
Sc 0.000 0.000 0.000
Zn 0.500 0.500 0.000
Sn 0.500 0.500 0.500
I 0.000 0.500 0.500
I 0.500 0.000 0.500

=====

## Sr2ScI4 (GGA-PBE)

Data for a geometry-optimized Sr2ScI4 structure.

Output
SG ... No. 139
Energy ... -3.199 eV/atom
Formation energy without anion corrections ... -0.93 eV/atom
Crystal system ... tetragonal
D(E_F) ... 4.452 states/eV per cell

Cell: 9.336 9.336 9.336 Å, 143.93 143.93 51.93°
Sites, in units of the cell vectors:
Sr 0.122 0.122 0.000
Sr 0.878 0.878 0.000
Sc 0.500 0.500 0.000
I 0.000 0.500 0.500
I 0.318 0.318 0.000
I 0.500 0.000 0.500
I 0.682 0.682 0.000

=====

## SrSc3I (GGA-PBE)

Data for a geometry-optimized SrSc3I structure.

Output
SG ... No. 221
Energy ... -4.202 eV/atom
Formation energy without anion corrections ... 0.24 eV/atom
Crystal system ... cubic
D(E_F) ... 9.508 states/eV per cell

Cell: 5.474 5.474 5.474 Å, 90.00 90.00 90.00°
Sites, in units of the cell vectors:
Sr 0.000 0.000 0.000
Sc 0.000 0.500 0.500
Sc 0.500 0.000 0.500
Sc 0.500 0.500 0.000
I 0.500 0.500 0.500

=====

## SrSc2I2 (GGA-PBE)

Data for a geometry-optimized SrSc2I2 structure.

Output
SG ... No. 139
Energy ... -3.926 eV/atom
Formation energy without anion corrections ... -0.44 eV/atom
Crystal system ... tetragonal
D(E_F) ... 4.402 states/eV per cell

Cell: 8.866 8.866 8.866 Å, 152.42 152.42 39.40°
Sites, in units of the cell vectors:
Sr 0.000 0.000 0.000
Sc 0.250 0.750 0.500
Sc 0.750 0.250 0.500
I 0.391 0.391 0.000
I 0.609 0.609 0.000

=====

Question: Among the records above, which one has the highest formation energy without anion corrections?
Answer: ScZnSnI2

=====

Question: D(E_F) of number 4 (ScSnTeI2)?
Answer: 2.978 states/eV per cell